P:
VASP calculation (PBE) on In2SbAs after structural relaxation.

- total magnetization (μB/atom) = 0.000
- N(E_F) (states/eV/atom) = 0.5308
- V (Å³ per atom) = 25.3

Cell and atoms, written as POSCAR:
```
In2SbAs
1.0
-3.458 -2.912 -2.987
2.897 -4.544 -0.560
-1.163 2.448 4.691
As In Sb
1 2 1
direct
0.750 0.250 0.500
0.000 0.000 0.000
0.250 0.750 0.500
0.500 0.500 0.000
```


Q:
VASP calculation (PBE) on In2SbAs after structural relaxation.

- total magnetization (μB/atom) = 0.000
- N(E_F) (states/eV/atom) = 0.5161
- V (Å³ per atom) = 25.6

Cell and atoms, written as POSCAR:
```
In2SbAs
1.0
-1.372 1.801 2.317
-2.603 -1.862 -0.501
3.198 -6.297 6.786
Sb In As
1 2 1
direct
0.500 0.500 0.250
0.000 0.000 0.977
0.000 0.000 0.523
0.500 0.500 0.750
```


R:
VASP calculation (PBE) on In2SbAs after structural relaxation.

- total magnetization (μB/atom) = 0.000
- N(E_F) (states/eV/atom) = 0.3307
- V (Å³ per atom) = 26.7

Cell and atoms, written as POSCAR:
```
In2SbAs
1.0
3.973 0.000 0.000
0.000 3.084 -0.353
0.000 -0.564 8.777
In As Sb
2 1 1
direct
0.000 0.810 0.996
0.500 0.432 0.237
0.500 0.686 0.748
0.000 0.571 0.519
```


S:
VASP calculation (PBE) on In2SbAs after structural relaxation.

- total magnetization (μB/atom) = 0.000
- N(E_F) (states/eV/atom) = 0.0000
- V (Å³ per atom) = 32.8

Cell and atoms, written as POSCAR:
```
In2SbAs
1.0
-0.514 -5.857 -2.555
6.155 0.235 -1.777
4.531 -5.396 3.417
In Sb As
4 2 2
direct
0.875 0.853 0.750
0.375 0.397 0.750
0.147 0.625 0.250
0.603 0.125 0.250
0.750 0.250 0.500
0.000 0.000 0.000
0.250 0.750 0.500
0.500 0.500 0.000
```


Energy relative to the most stable one, in meV/atom: P 340; Q 319; R 231; S 0